No. 1
Below is crystalline Rb3Pu3NiS8 at its relaxed geometry, with properties calculated at the PBE level.

Cell lengths 9.017, 9.017, 9.017 Å; angles 51.95, 51.95, 51.95 degrees
Sites, in units of the cell vectors:
Rb: 0.000 0.500 0.500
Rb: 0.500 0.000 0.500
Rb: 0.500 0.500 0.000
Pu: 0.000 0.000 0.500
Pu: 0.000 0.500 0.000
Pu: 0.500 0.000 0.000
Ni: 0.500 0.500 0.500
S: 0.231 0.231 0.231
S: 0.238 0.719 0.719
S: 0.281 0.281 0.762
S: 0.281 0.762 0.281
S: 0.719 0.238 0.719
S: 0.719 0.719 0.238
S: 0.762 0.281 0.281
S: 0.769 0.769 0.769

As for the formation energy from raw total energies: -18.6 eV/f.u.

No. 2
Below is crystalline La4AsS3 at its relaxed geometry, with properties calculated at the PBE level.

Cell lengths 5.963, 5.963, 5.963 Å; angles 90.00, 90.00, 90.00 degrees
Sites, in units of the cell vectors:
La: 0.000 0.000 0.000
La: 0.000 0.500 0.500
La: 0.500 0.000 0.500
La: 0.500 0.500 0.000
As: 0.500 0.500 0.500
S: 0.000 0.000 0.500
S: 0.000 0.500 0.000
S: 0.500 0.000 0.000

As for the formation energy from raw total energies: -16.2 eV/f.u.

No. 3
Below is crystalline Np3FeAg3Se8 at its relaxed geometry, with properties calculated at the PBE level.

Cell lengths 7.983, 7.983, 7.983 Å; angles 61.84, 61.84, 61.84 degrees
Sites, in units of the cell vectors:
Np: 0.000 0.500 0.500
Np: 0.500 0.000 0.500
Np: 0.500 0.500 0.000
Fe: 0.000 0.000 0.000
Ag: 0.000 0.000 0.500
Ag: 0.000 0.500 0.000
Ag: 0.500 0.000 0.000
Se: 0.233 0.233 0.764
Se: 0.233 0.764 0.233
Se: 0.236 0.767 0.767
Se: 0.251 0.251 0.251
Se: 0.749 0.749 0.749
Se: 0.764 0.233 0.233
Se: 0.767 0.236 0.767
Se: 0.767 0.767 0.236

As for the formation energy from raw total energies: -8.7 eV/f.u.

No. 4
Below is crystalline AcTb4Y6 at its relaxed geometry, with properties calculated at the PBE level.

Cell lengths 5.701, 5.701, 25.856 Å; angles 90.00, 90.00, 118.59 degrees
Sites, in units of the cell vectors:
Ac: 0.185 0.815 0.750
Ac: 0.815 0.185 0.250
Tb: 0.159 0.841 0.042
Tb: 0.159 0.841 0.458
Tb: 0.474 0.526 0.122
Tb: 0.474 0.526 0.378
Tb: 0.526 0.474 0.622
Tb: 0.526 0.474 0.878
Tb: 0.841 0.159 0.542
Tb: 0.841 0.159 0.958
Y: 0.145 0.855 0.179
Y: 0.145 0.855 0.321
Y: 0.186 0.814 0.599
Y: 0.186 0.814 0.901
Y: 0.479 0.521 0.250
Y: 0.500 0.500 0.000
Y: 0.500 0.500 0.500
Y: 0.521 0.479 0.750
Y: 0.814 0.186 0.099
Y: 0.814 0.186 0.401
Y: 0.855 0.145 0.679
Y: 0.855 0.145 0.821

As for the formation energy from the elements: 0.130 eV/atom.

No. 5
Below is crystalline Na2Pb2Au at its relaxed geometry, with properties calculated at the PBE level.

Cell lengths 7.291, 7.291, 5.026 Å; angles 90.00, 90.00, 90.00 degrees
Sites, in units of the cell vectors:
Na: 0.142 0.358 0.000
Na: 0.358 0.858 0.000
Na: 0.642 0.142 0.000
Na: 0.858 0.642 0.000
Pb: 0.169 0.669 0.500
Pb: 0.331 0.169 0.500
Pb: 0.669 0.831 0.500
Pb: 0.831 0.331 0.500
Au: 0.000 0.000 0.000
Au: 0.500 0.500 0.000

As for the formation energy from the elements: 0.017 eV/atom. The value obtained for the distance to the lowest polymorph of the same formula is 0.233 eV/atom.

No. 6
Below is crystalline YCoMo2 at its relaxed geometry, with properties calculated at the PBE level.

Cell lengths 5.409, 5.409, 2.785 Å; angles 90.00, 90.00, 122.59 degrees
Sites, in units of the cell vectors:
Y: 0.000 0.000 0.000
Co: 0.500 0.500 0.000
Mo: 0.000 0.500 0.500
Mo: 0.500 0.000 0.500

As for the formation energy from the elements: 0.598 eV/atom. The value obtained for the distance to the lowest polymorph of the same formula is 0.402 eV/atom.

No. 7
Below is crystalline TiNb3Rh at its relaxed geometry, with properties calculated at the PBE level.

Cell lengths 4.620, 4.620, 4.620 Å; angles 90.00, 90.00, 90.00 degrees
Sites, in units of the cell vectors:
Ti: 0.000 0.000 0.000
Nb: 0.000 0.000 0.500
Nb: 0.000 0.500 0.000
Nb: 0.500 0.000 0.000
Rh: 0.500 0.500 0.500

As for the formation energy from the elements: 1.232 eV/atom. The value obtained for the distance to the lowest polymorph of the same formula is 1.212 eV/atom.

No. 8
Below is crystalline PaGa2H at its relaxed geometry, with properties calculated at the PBE level.

Cell lengths 4.677, 4.677, 4.677 Å; angles 128.04, 111.19, 91.28 degrees
Sites, in units of the cell vectors:
Pa: 0.000 0.000 0.000
Ga: 0.313 0.813 0.500
Ga: 0.537 0.537 0.000
H: 0.898 0.398 0.500

The value obtained for the distance to the lowest polymorph of the same formula is 0.000 eV/atom.

No. 9
Below is crystalline Nd3ErZn4 at its relaxed geometry, with properties calculated at the PBE level.

Cell lengths 8.977, 8.977, 8.977 Å; angles 33.30, 33.30, 33.30 degrees
Sites, in units of the cell vectors:
Nd: 0.000 0.000 0.000
Nd: 0.248 0.248 0.248
Nd: 0.752 0.752 0.752
Er: 0.500 0.500 0.500
Zn: 0.127 0.127 0.127
Zn: 0.377 0.377 0.377
Zn: 0.623 0.623 0.623
Zn: 0.873 0.873 0.873

As for the formation energy from the elements: -0.313 eV/atom.

No. 10
Below is crystalline HgRhI2 at its relaxed geometry, with properties calculated at the PBE level.

Cell lengths 7.552, 7.552, 7.552 Å; angles 116.78, 116.78, 95.67 degrees
Sites, in units of the cell vectors:
Hg: 0.000 0.000 0.000
Hg: 0.750 0.250 0.500
Rh: 0.250 0.750 0.500
Rh: 0.500 0.500 0.000
I: 0.240 0.625 0.115
I: 0.375 0.490 0.615
I: 0.510 0.125 0.885
I: 0.875 0.760 0.385

The value obtained for the distance to the lowest polymorph of the same formula is 0.000 eV/atom. As for the formation energy from raw total energies: 0.5 eV/f.u.

No. 11
Below is crystalline In2ReAs at its relaxed geometry, with properties calculated at the PBE level.

Cell lengths 4.253, 5.444, 5.444 Å; angles 39.42, 90.00, 90.00 degrees
Sites, in units of the cell vectors:
In: 0.000 0.000 0.000
In: 0.500 0.315 0.315
Re: 0.500 0.592 0.592
As: 0.000 0.725 0.725

As for the formation energy from the elements: 0.300 eV/atom.

No. 12
Below is crystalline GeBiAsBr2 at its relaxed geometry, with properties calculated at the PBE level.

Cell lengths 5.609, 5.609, 5.677 Å; angles 90.00, 90.00, 90.00 degrees
Sites, in units of the cell vectors:
Ge: 0.000 0.000 0.000
Bi: 0.500 0.500 0.500
As: 0.500 0.500 0.000
Br: 0.000 0.500 0.500
Br: 0.500 0.000 0.500

The value obtained for the distance to the lowest polymorph of the same formula is 0.257 eV/atom. As for the formation energy from raw total energies: 2.4 eV/f.u.

No. 13
Below is crystalline CrIrRu at its relaxed geometry, with properties calculated at the PBE level.

Cell lengths 2.686, 2.686, 6.499 Å; angles 90.00, 90.00, 120.00 degrees
Sites, in units of the cell vectors:
Cr: 0.000 0.000 0.000
Ir: 0.333 0.667 0.322
Ru: 0.667 0.333 0.687

As for the formation energy from the elements: -0.006 eV/atom. The value obtained for the distance to the lowest polymorph of the same formula is 0.021 eV/atom.

No. 14
Below is crystalline TaSbHI2 at its relaxed geometry, with properties calculated at the PBE level.

Cell lengths 5.623, 5.623, 5.385 Å; angles 90.00, 90.00, 90.00 degrees
Sites, in units of the cell vectors:
Ta: 0.000 0.000 0.000
Sb: 0.000 0.000 0.500
H: 0.500 0.500 0.500
I: 0.000 0.500 0.000
I: 0.500 0.000 0.000

The value obtained for the distance to the lowest polymorph of the same formula is 0.000 eV/atom.

No. 15
Below is crystalline Tb6PmY3 at its relaxed geometry, with properties calculated at the PBE level.

Cell lengths 11.054, 11.054, 6.182 Å; angles 90.00, 90.00, 119.64 degrees
Sites, in units of the cell vectors:
Tb: 0.042 0.463 0.055
Tb: 0.046 0.954 0.500
Tb: 0.282 0.718 0.786
Tb: 0.289 0.381 0.891
Tb: 0.381 0.289 0.391
Tb: 0.463 0.042 0.555
Tb: 0.537 0.958 0.055
Tb: 0.619 0.711 0.891
Tb: 0.711 0.619 0.391
Tb: 0.718 0.282 0.286
Tb: 0.954 0.046 0.000
Tb: 0.958 0.537 0.555
Pm: 0.206 0.794 0.283
Pm: 0.794 0.206 0.783
Y: 0.061 0.280 0.462
Y: 0.280 0.061 0.962
Y: 0.389 0.611 0.354
Y: 0.611 0.389 0.854
Y: 0.720 0.939 0.462
Y: 0.939 0.720 0.962

As for the formation energy from the elements: 0.141 eV/atom. The value obtained for the distance to the lowest polymorph of the same formula is 0.000 eV/atom.

No. 16
Below is crystalline Nd6TeSe3S2 at its relaxed geometry, with properties calculated at the PBE level.

Cell lengths 9.446, 9.446, 8.528 Å; angles 103.14, 103.14, 25.69 degrees
Sites, in units of the cell vectors:
Nd: 0.010 0.010 0.272
Nd: 0.325 0.325 0.892
Nd: 0.329 0.329 0.427
Nd: 0.671 0.671 0.573
Nd: 0.675 0.675 0.108
Nd: 0.990 0.990 0.728
Te: 0.500 0.500 0.000
Se: 0.161 0.161 0.834
Se: 0.500 0.500 0.500
Se: 0.839 0.839 0.166
S: 0.170 0.170 0.338
S: 0.830 0.830 0.662

As for the formation energy from raw total energies: -21.7 eV/f.u.

No. 17
Below is crystalline LiTaBe at its relaxed geometry, with properties calculated at the PBE level.

Cell lengths 2.563, 5.128, 7.069 Å; angles 73.66, 79.58, 75.58 degrees
Sites, in units of the cell vectors:
Li: 0.000 0.000 0.000
Li: 0.356 0.894 0.389
Ta: 0.032 0.333 0.599
Ta: 0.674 0.446 0.202
Be: 0.310 0.504 0.872
Be: 0.714 0.848 0.720

As for the formation energy from the elements: 0.307 eV/atom. The value obtained for the distance to the lowest polymorph of the same formula is 0.178 eV/atom.

No. 18
Below is crystalline AcAlGeH2 at its relaxed geometry, with properties calculated at the PBE level.

Cell lengths 6.469, 6.461, 6.335 Å; angles 60.72, 60.60, 58.67 degrees
Sites, in units of the cell vectors:
Ac: 0.250 0.250 0.750
Ac: 0.750 0.750 0.250
Al: 0.000 0.000 0.500
Al: 0.500 0.500 0.000
Ge: 0.250 0.250 0.250
Ge: 0.750 0.750 0.750
H: 0.151 0.849 0.151
H: 0.349 0.651 0.651
H: 0.651 0.349 0.349
H: 0.849 0.151 0.849

The calculated total energy is -3.94 eV per atom.